Entry 1:
The following is a GGA-PBE calculation of a relaxed structure of Rb3CaCr2Br9, from the Alexandria database.

Cell and atoms, written as CIF:
```
data_Rb3CaCr2Br9
_space_group_name_H-M_alt 'P -3 m 1'
_space_group_IT_number 164
_space_group_name_Hall '-P 3 2"'
_cell_length_a 7.7025
_cell_length_b 7.7025
_cell_length_c 9.4551
_cell_angle_alpha 90.00
_cell_angle_beta 90.00
_cell_angle_gamma 120.00
loop_
_atom_site_label
_atom_site_type_symbol
_atom_site_fract_x
_atom_site_fract_y
_atom_site_fract_z
_atom_site_occupancy
Rb1 Rb 0.0000 0.0000 0.0000 1
Rb2 Rb 0.3333 0.6667 0.6723 1
Ca1 Ca 0.0000 0.0000 0.5000 1
Cr1 Cr 0.3333 0.6667 0.1566 1
Br1 Br 0.0000 0.5000 0.0000 1
Br2 Br 0.1729 0.3458 0.3216 1
```

- Raw formation energy: -1.352 eV/atom
- Density of states at the Fermi level: 1.92 states/eV per cell
- Raw total energy: -3.97 eV per atom

---

Entry 2:
The following is a GGA-PBE calculation of a relaxed structure of PrMg2Au3, from the Alexandria database.

Cell and atoms, written as CIF:
```
data_PrMg2Au3
_space_group_name_H-M_alt 'P 63/m m c'
_space_group_IT_number 194
_space_group_name_Hall '-P 6c 2c'
_cell_length_a 4.7172
_cell_length_b 4.7172
_cell_length_c 13.3923
_cell_angle_alpha 90.00
_cell_angle_beta 90.00
_cell_angle_gamma 120.00
loop_
_atom_site_label
_atom_site_type_symbol
_atom_site_fract_x
_atom_site_fract_y
_atom_site_fract_z
_atom_site_occupancy
Pr1 Pr 0.0000 0.0000 0.2500 1
Mg1 Mg 0.3333 0.6667 0.0711 1
Au1 Au 0.0000 0.0000 0.0000 1
Au2 Au 0.3333 0.6667 0.6346 1
```

- Formation enthalpy at 0 K: -392.9 kJ/mol of formula units
- Density of states at the Fermi level: 6.47 states/eV per cell
- Raw total energy: -3.65 eV per atom
- Polymorph energy (0 for the lowest one): 0.00 eV/f.u.

---

Entry 3:
The following is a GGA-PBE calculation of a relaxed structure of Ac4As2P, from the Alexandria database.

Cell and atoms, written as CIF:
```
data_Ac4As2P
_space_group_name_H-M_alt 'C 1 2/m 1'
_space_group_IT_number 12
_space_group_name_Hall '-C 2y'
_cell_length_a 16.760
_cell_length_b 4.397
_cell_length_c 7.641
_cell_angle_alpha 90.00
_cell_angle_beta 116.99
_cell_angle_gamma 90.00
loop_
_atom_site_label
_atom_site_type_symbol
_atom_site_fract_x
_atom_site_fract_y
_atom_site_fract_z
_atom_site_occupancy
Ac1 Ac 0.124 0.000 0.282 1
Ac2 Ac 0.126 0.500 0.803 1
As1 As 0.243 0.000 0.743 1
P1 P 0.000 0.500 0.000 1
```

- Formation enthalpy at 0 K: -785.6 kJ/mol of formula units
- Density of states at the Fermi level: 11.63 states/eV per cell
- Raw total energy: -5.61 eV per atom
- Polymorph energy (0 for the lowest one): 0.00 eV/f.u.

---

Entry 4:
The following is a GGA-PBE calculation of a relaxed structure of Pr4NdHg4, from the Alexandria database.

Cell and atoms, written as CIF:
```
data_Pr4NdHg4
_space_group_name_H-M_alt 'P 42/n'
_space_group_IT_number 86
_cell_length_a 9.719
_cell_length_b 9.719
_cell_length_c 5.822
_cell_angle_alpha 90.00
_cell_angle_beta 90.00
_cell_angle_gamma 90.00
loop_
_space_group_symop_operation_xyz
'x,y,z'
'-x,-y,-z'
'-y,x+1/2,z+1/2'
'y,-x+1/2,-z+1/2'
'-x+1/2,-y+1/2,z'
'x+1/2,y+1/2,-z'
'y+1/2,-x,z+1/2'
'-y+1/2,x,-z+1/2'
loop_
_atom_site_label
_atom_site_type_symbol
_atom_site_fract_x
_atom_site_fract_y
_atom_site_fract_z
_atom_site_occupancy
Pr1 Pr 0.092 0.838 0.146 1
Nd1 Nd 0.250 0.250 0.750 1
Hg1 Hg 0.048 0.147 0.355 1
```

- Formation enthalpy at 0 K: -231.8 kJ/mol of formula units
- Density of states at the Fermi level: 13.71 states/eV per cell
- Raw total energy: -3.06 eV per atom

---

Entry 5:
The following is a GGA-PBE calculation of a relaxed structure of Li23SnRh6, from the Alexandria database.

Cell and atoms, written as CIF:
```
data_Li23SnRh6
_space_group_name_H-M_alt 'F m -3 m'
_space_group_IT_number 225
_space_group_name_Hall '-F 4 2 3'
_cell_length_a 12.161
_cell_length_b 12.161
_cell_length_c 12.161
_cell_angle_alpha 90.00
_cell_angle_beta 90.00
_cell_angle_gamma 90.00
loop_
_atom_site_label
_atom_site_type_symbol
_atom_site_fract_x
_atom_site_fract_y
_atom_site_fract_z
_atom_site_occupancy
Li1 Li 0.000 0.000 0.000 1
Li2 Li 0.000 0.250 0.250 1
Li3 Li 0.120 0.120 0.120 1
Li4 Li 0.131 0.131 0.369 1
Sn1 Sn 0.000 0.000 0.500 1
Rh1 Rh 0.000 0.000 0.265 1
```

- Formation enthalpy at 0 K: -287.9 kJ/mol of formula units
- Density of states at the Fermi level: 24.20 states/eV per cell
- Raw total energy: -3.17 eV per atom

---

Entry 6:
The following is a GGA-PBE calculation of a relaxed structure of AcBeSb2, from the Alexandria database.

Cell and atoms, written as CIF:
```
data_AcBeSb2
_space_group_name_H-M_alt 'R -3 m'
_space_group_IT_number 166
_space_group_name_Hall '-R 3 2"'
_cell_length_a 4.9144
_cell_length_b 4.9144
_cell_length_c 24.6189
_cell_angle_alpha 90.00
_cell_angle_beta 90.00
_cell_angle_gamma 120.00
loop_
_atom_site_label
_atom_site_type_symbol
_atom_site_fract_x
_atom_site_fract_y
_atom_site_fract_z
_atom_site_occupancy
Ac1 Ac 0.0000 0.0000 0.0000 1
Be1 Be 0.0000 0.0000 0.5000 1
Sb1 Sb 0.0000 0.0000 0.4071 1
```

- Raw formation energy: 0.022 eV/atom
- Density of states at the Fermi level: 13.48 states/eV per cell
- Raw total energy: -4.00 eV per atom
- Polymorph energy (0 for the lowest one): 0.60 eV/f.u.